Entry 1:
A plane-wave DFT calculation with PBE was carried out for BaMg2TaS after structural relaxation.

Results
ρ in g/cm³: 4.620
Formation energy from raw total energies in eV per atom: 0.4943
Magnetization in μB/cell: 3.20

a = 4.911 Å, b = 4.911 Å, c = 5.946 Å
α = 90.00°, β = 90.00°, γ = 90.00°
Space group P4/mmm (No. 123)
Inequivalent atoms, fractional coordinates:
1 Ba 0.000 0.000 0.000 x1
2 Mg 0.000 0.500 0.500 x2
3 Ta 0.500 0.500 0.000 x1
4 S 0.000 0.000 0.500 x1

---

Entry 2:
A plane-wave DFT calculation with PBE was carried out for ZrMnPb2 after structural relaxation.

Results
ρ in g/cm³: 10.161
Offset from the most stable computed form in eV/atom: 0.0871
Magnetization in μB/cell: 3.92
ΔH_f (0 K) in meV per atom: 225

a = 3.322 Å, b = 4.195 Å, c = 6.575 Å
α = 90.00°, β = 90.00°, γ = 90.00°
Space group Pmmm (No. 47)
Inequivalent atoms, fractional coordinates:
1 Zr 0.000 0.000 0.000 x1
2 Mn 0.000 0.000 0.500 x1
3 Pb 0.500 0.500 0.259 x2

---

Entry 3:
A plane-wave DFT calculation with PBE was carried out for Re2Ir after structural relaxation.

Results
ρ in g/cm³: 20.606
Offset from the most stable computed form in eV/atom: 0.5281
Magnetization in μB/cell: 0.00
ΔH_f (0 K) in meV per atom: 335

a = 3.298 Å, b = 3.298 Å, c = 8.365 Å
α = 90.00°, β = 90.00°, γ = 90.00°
Space group I4/mmm (No. 139)
Inequivalent atoms, fractional coordinates:
1 Re 0.000 0.000 0.170 x4
2 Ir 0.000 0.000 0.500 x2

---

Entry 4:
A plane-wave DFT calculation with PBE was carried out for ErVGa3 after structural relaxation.

Results
ρ in g/cm³: 7.667
Magnetization in μB/cell: 0.00
ΔH_f (0 K) in meV per atom: -344

a = 6.2337 Å, b = 6.2337 Å, c = 5.5010 Å
α = 90.00°, β = 90.00°, γ = 120.00°
Space group P6_3/mmc (No. 194)
Inequivalent atoms, fractional coordinates:
1 Er 0.3333 0.6667 0.2500 x2
2 V 0.0000 0.0000 0.0000 x2
3 Ga 0.1937 0.3875 0.7500 x6

---

Entry 5:
A plane-wave DFT calculation with PBE was carried out for La8Sm4Cd after structural relaxation.

Results
ρ in g/cm³: 6.734
Magnetization in μB/cell: 0.00
ΔH_f (0 K) in meV per atom: -15

a = 11.652 Å, b = 5.175 Å, c = 14.985 Å
α = 90.00°, β = 95.07°, γ = 90.00°
Space group C2/m (No. 12)
Inequivalent atoms, fractional coordinates:
1 La 0.035 0.000 0.381 x4
2 La 0.082 0.500 0.777 x4
3 La 0.210 0.000 0.927 x4
4 La 0.227 0.500 0.306 x4
5 Sm 0.106 0.000 0.148 x4
6 Sm 0.153 0.500 0.539 x4
7 Cd 0.000 0.500 0.000 x2

---

Entry 6:
A plane-wave DFT calculation with PBE was carried out for HgBrF2 after structural relaxation.

Results
ρ in g/cm³: 5.826
Offset from the most stable computed form in eV/atom: 0.0000
Formation energy from raw total energies in eV per atom: -1.0121
Magnetization in μB/cell: 0.00

a = 3.785 Å, b = 6.337 Å, c = 8.097 Å
α = 110.78°, β = 90.56°, γ = 90.11°
Space group P-1 (No. 2)
Inequivalent atoms, fractional coordinates:
1 Hg 0.248 0.265 0.048 x2
2 Br 0.088 0.588 0.402 x2
3 F 0.255 0.665 0.112 x2
4 F 0.257 0.891 0.856 x2

---

Entry 7:
A plane-wave DFT calculation with PBE was carried out for Nd8Sm5Tm after structural relaxation.

Results
ρ in g/cm³: 6.977
Magnetization in μB/cell: 0.00
ΔH_f (0 K) in meV per atom: 245

a = 9.814 Å, b = 9.814 Å, c = 10.252 Å
α = 90.00°, β = 90.00°, γ = 90.00°
Space group I-4 (No. 82)
Inequivalent atoms, fractional coordinates:
1 Nd 0.069 0.328 0.093 x8
2 Nd 0.085 0.182 0.754 x8
3 Sm 0.000 0.000 0.000 x2
4 Sm 0.106 0.208 0.424 x8
5 Tm 0.000 0.500 0.750 x2

---

Entry 8:
A plane-wave DFT calculation with PBE was carried out for Ac3Tm12Sn5 after structural relaxation.

Results
ρ in g/cm³: 7.021
Magnetization in μB/cell: 0.01
ΔH_f (0 K) in meV per atom: 400

a = 18.417 Å, b = 18.417 Å, c = 18.417 Å
α = 90.00°, β = 90.00°, γ = 90.00°
Space group Ia-3d (No. 230)
Inequivalent atoms, fractional coordinates:
1 Ac 0.000 0.250 0.125 x24
2 Tm 0.029 0.070 0.644 x96
3 Sn 0.000 0.000 0.000 x16
4 Sn 0.000 0.250 0.375 x24

---

Question: Look up the ρ of the second one.
Answer: 10.161 g/cm³

---

Question: Among the records above, which one has the highest ρ?
Answer: Re2Ir